Density functional theory data (PBE+U) for crystalline MnGaO3 at its relaxed geometry.

Cell: 3.2602 3.2602 11.8949 Å, 90.00 90.00 120.00°
Closest atoms and distances in Å follow each position.
Element x y z (fractional)
Mn 0.0000 0.0000 0.0000  6 O 2.11
Mn 0.0000 0.0000 0.5000  6 O 2.11
O 0.6667 0.3333 0.9197  1 Ga 2.02, 3 Mn 2.11
O 0.0000 0.0000 0.7501  3 Ga 1.88
O 0.6667 0.3333 0.5804  1 Ga 2.02, 3 Mn 2.11
O 0.0000 0.0000 0.2498  3 Ga 1.88
O 0.3333 0.6667 0.4196  1 Ga 2.02, 3 Mn 2.11
O 0.3333 0.6667 0.0803  1 Ga 2.02, 3 Mn 2.11
Ga 0.6667 0.3333 0.7500  5 O 1.88-2.02
Ga 0.3333 0.6667 0.2500  5 O 1.88-2.02

Properties
* E: -67.198 eV for the cell shown
* crystal system: hexagonal
* density of states at the Fermi level: 1.75 states/eV/cell
* magnetic moment: 0.8000 μB per atom
* volume: 109.49 Å³ per cell
* symmetry: P6_3/mmc (194)